VASP calculation (GGA-PBE) on a relaxed YErTeC crystal.

It has space group P-3m1 (No. 164), with a = 3.8189 Å, b = 3.8189 Å, c = 13.9503 Å, α = 90.00°, β = 90.00° and γ = 120.00°. The asymmetric unit holds Y at (0.3333, 0.6667, 0.0942), Er at (0.3333, 0.6667, 0.4079), Te at (0.3333, 0.6667, 0.7475), C at (0.0000, 0.0000, 0.0000) and C at (0.0000, 0.0000, 0.5000).

The crystal system is trigonal. The calculation puts the calculated total energy at -6.734 eV/atom. Its magnetic moment is 0.01 μB per formula unit.



VASP calculation (GGA-PBE) on a relaxed NdInS3 crystal.

It has space group Pnma (No. 62), with a = 7.962 Å, b = 4.004 Å, c = 13.594 Å, α = 90.00°, β = 90.00° and γ = 90.00°. The asymmetric unit holds Nd at (0.095, 0.250, 0.170), In at (0.163, 0.750, 0.442), S at (0.026, 0.750, 0.619), S at (0.146, 0.750, 0.012) and S at (0.179, 0.250, 0.782).

The crystal system is orthorhombic. The calculation puts the calculated total energy at -5.235 eV/atom. Its magnetic moment is 0.00 μB per formula unit.



VASP calculation (GGA-PBE) on a relaxed RbBeBiPt crystal.

It has space group F-43m (No. 216), with a = 7.084 Å, b = 7.084 Å, c = 7.084 Å, α = 90.00°, β = 90.00° and γ = 90.00°. The asymmetric unit holds Rb at (0.000, 0.000, 0.000), Be at (0.250, 0.250, 0.750), Bi at (0.250, 0.250, 0.250) and Pt at (0.000, 0.000, 0.500).

The crystal system is cubic. The calculation puts the calculated total energy at -3.099 eV/atom. Its magnetic moment is 0.00 μB per formula unit.



VASP calculation (GGA-PBE) on a relaxed LaSmAgSe3 crystal.

It has space group Cmcm (No. 63), with a = 4.063 Å, b = 13.855 Å, c = 11.125 Å, α = 90.00°, β = 90.00° and γ = 90.00°. The asymmetric unit holds La at (0.000, 0.000, 0.000), Sm at (0.000, 0.227, 0.250), Ag at (0.000, 0.481, 0.750), Se at (0.000, 0.109, 0.750) and Se at (0.000, 0.350, 0.577).

The crystal system is orthorhombic. The calculation puts the calculated total energy at -5.239 eV/atom. Its magnetic moment is 0.02 μB per formula unit.



VASP calculation (GGA-PBE) on a relaxed YHoTeO2 crystal.

It has space group P3m1 (No. 156), with a = 3.8807 Å, b = 3.8807 Å, c = 7.1702 Å, α = 90.00°, β = 90.00° and γ = 120.00°. The asymmetric unit holds Y at (0.0000, 0.0000, 0.0000), Ho at (0.3333, 0.6667, 0.6089), Te at (0.6667, 0.3333, 0.3043), O at (0.0000, 0.0000, 0.6808) and O at (0.3333, 0.6667, 0.9224).

The crystal system is trigonal. The calculation puts the calculated total energy at -7.695 eV/atom. Its magnetic moment is 0.00 μB per formula unit.



VASP calculation (GGA-PBE) on a relaxed KOsO3 crystal.

It has space group P4mm (No. 99), with a = 3.828 Å, b = 3.828 Å, c = 5.129 Å, α = 90.00°, β = 90.00° and γ = 90.00°. The asymmetric unit holds K at (0.000, 0.000, 0.000), Os at (0.500, 0.500, 0.358), O at (0.000, 0.000, 0.557) and O at (0.000, 0.500, 0.339).

The crystal system is tetragonal. The calculation puts the calculated total energy at -5.486 eV/atom. Its magnetic moment is 0.01 μB per formula unit.



VASP calculation (GGA-PBE) on a relaxed SrBi2PtAu crystal.

It has space group P2_1/m (No. 11), with a = 5.024 Å, b = 4.881 Å, c = 11.194 Å, α = 90.00°, β = 92.55° and γ = 90.00°. The asymmetric unit holds Sr at (0.224, 0.250, 0.246), Bi at (0.253, 0.750, 0.498), Bi at (0.306, 0.250, 0.865), Pt at (0.255, 0.250, 0.623) and Au at (0.185, 0.750, 0.000).

The crystal system is monoclinic. The calculation puts the calculated total energy at -4.357 eV/atom. Its magnetic moment is 0.00 μB per formula unit.



VASP calculation (GGA-PBE) on a relaxed CuTcBIr crystal.

It has space group F-43m (No. 216), with a = 5.843 Å, b = 5.843 Å, c = 5.843 Å, α = 90.00°, β = 90.00° and γ = 90.00°. The asymmetric unit holds Cu at (0.000, 0.000, 0.000), Tc at (0.000, 0.000, 0.500), B at (0.250, 0.250, 0.750) and Ir at (0.250, 0.250, 0.250).

The crystal system is cubic. The calculation puts the calculated total energy at -6.821 eV/atom. Its magnetic moment is 0.00 μB per formula unit.



VASP calculation (GGA-PBE) on a relaxed KLaHgTe3 crystal.

It has space group C2/m (No. 12), with a = 21.013 Å, b = 4.654 Å, c = 9.561 Å, α = 90.00°, β = 103.09° and γ = 90.00°. The asymmetric unit holds K at (0.133, 0.000, 0.075), La at (0.171, 0.000, 0.584), Hg at (0.036, 0.500, 0.723), Te at (0.000, 0.000, 0.500), Te at (0.000, 0.500, 0.000), Te at (0.173, 0.500, 0.358) and Te at (0.176, 0.500, 0.821).

The crystal system is monoclinic. The calculation puts the calculated total energy at -3.563 eV/atom. Its magnetic moment is 0.03 μB per formula unit.



VASP calculation (GGA-PBE) on a relaxed TmAgPbS3 crystal.

It has space group P2_1/m (No. 11), with a = 7.494 Å, b = 3.988 Å, c = 9.692 Å, α = 90.00°, β = 106.02° and γ = 90.00°. The asymmetric unit holds Tm at (0.196, 0.250, 0.154), Ag at (0.395, 0.750, 0.408), Pb at (0.230, 0.750, 0.701), S at (0.065, 0.250, 0.867), S at (0.201, 0.250, 0.449) and S at (0.441, 0.750, 0.161).

The crystal system is monoclinic. The calculation puts the calculated total energy at -4.916 eV/atom. Its magnetic moment is 0.01 μB per formula unit.



VASP calculation (GGA-PBE) on a relaxed LiSiIrPb crystal.

It has space group F-43m (No. 216), with a = 6.426 Å, b = 6.426 Å, c = 6.426 Å, α = 90.00°, β = 90.00° and γ = 90.00°. The asymmetric unit holds Li at (0.000, 0.000, 0.000), Si at (0.250, 0.250, 0.750), Ir at (0.000, 0.000, 0.500) and Pb at (0.250, 0.250, 0.250).

The crystal system is cubic. The calculation puts the calculated total energy at -4.979 eV/atom. Its magnetic moment is 0.00 μB per formula unit.



VASP calculation (GGA-PBE) on a relaxed CdInW crystal.

It has space group F-43m (No. 216), with a = 6.582 Å, b = 6.582 Å, c = 6.582 Å, α = 90.00°, β = 90.00° and γ = 90.00°. The asymmetric unit holds Cd at (0.000, 0.000, 0.000), In at (0.000, 0.000, 0.500) and W at (0.250, 0.250, 0.250).

The crystal system is cubic. The calculation puts the calculated total energy at -4.375 eV/atom. Its magnetic moment is 1.86 μB per formula unit.



VASP calculation (GGA-PBE) on a relaxed ZnFeSiPd crystal.

It has space group F-43m (No. 216), with a = 5.897 Å, b = 5.897 Å, c = 5.897 Å, α = 90.00°, β = 90.00° and γ = 90.00°. The asymmetric unit holds Zn at (0.000, 0.000, 0.000), Fe at (0.250, 0.250, 0.750), Si at (0.000, 0.000, 0.500) and Pd at (0.250, 0.250, 0.250).

The crystal system is cubic. The calculation puts the calculated total energy at -5.283 eV/atom. Its magnetic moment is 1.10 μB per formula unit.



VASP calculation (GGA-PBE) on a relaxed SiPbW4C2 crystal.

It has space group P-6m2 (No. 187), with a = 3.2112 Å, b = 3.2112 Å, c = 12.9681 Å, α = 90.00°, β = 90.00° and γ = 120.00°. The asymmetric unit holds Si at (0.0000, 0.0000, 0.0000), Pb at (0.3333, 0.6667, 0.5000), W at (0.0000, 0.0000, 0.3083), W at (0.3333, 0.6667, 0.1376) and C at (0.6667, 0.3333, 0.2318).

The crystal system is hexagonal. The calculation puts the calculated total energy at -9.651 eV/atom. Its magnetic moment is 0.02 μB per formula unit.



VASP calculation (GGA-PBE) on a relaxed PmScO3 crystal.

It has space group P4mm (No. 99), with a = 3.865 Å, b = 3.865 Å, c = 4.635 Å, α = 90.00°, β = 90.00° and γ = 90.00°. The asymmetric unit holds Pm at (0.000, 0.000, 0.000), Sc at (0.500, 0.500, 0.581), O at (0.000, 0.500, 0.713) and O at (0.500, 0.500, 0.157).

The crystal system is tetragonal. The calculation puts the calculated total energy at -8.511 eV/atom. Its magnetic moment is 0.00 μB per formula unit.



VASP calculation (GGA-PBE) on a relaxed YGaFeW crystal.

It has space group F-43m (No. 216), with a = 6.491 Å, b = 6.491 Å, c = 6.491 Å, α = 90.00°, β = 90.00° and γ = 90.00°. The asymmetric unit holds Y at (0.000, 0.000, 0.000), Ga at (0.250, 0.250, 0.250), Fe at (0.000, 0.000, 0.500) and W at (0.250, 0.250, 0.750).

The crystal system is cubic. The calculation puts the calculated total energy at -7.192 eV/atom. Its magnetic moment is 1.83 μB per formula unit.



VASP calculation (GGA-PBE) on a relaxed KZrAlTe3 crystal.

It has space group Cmcm (No. 63), with a = 4.101 Å, b = 16.886 Å, c = 10.897 Å, α = 90.00°, β = 90.00° and γ = 90.00°. The asymmetric unit holds K at (0.000, 0.241, 0.250), Zr at (0.000, 0.000, 0.000), Al at (0.000, 0.470, 0.750), Te at (0.000, 0.076, 0.750) and Te at (0.000, 0.375, 0.554).

The crystal system is orthorhombic. The calculation puts the calculated total energy at -4.454 eV/atom. Its magnetic moment is 1.35 μB per formula unit.



VASP calculation (GGA-PBE) on a relaxed TlCuTcTe3 crystal.

It has space group P2_1/m (No. 11), with a = 8.299 Å, b = 3.953 Å, c = 10.374 Å, α = 90.00°, β = 113.05° and γ = 90.00°. The asymmetric unit holds Tl at (0.221, 0.250, 0.211), Cu at (0.417, 0.250, 0.887), Tc at (0.208, 0.750, 0.673), Te at (0.039, 0.750, 0.385), Te at (0.243, 0.750, 0.942) and Te at (0.411, 0.250, 0.640).

The crystal system is monoclinic. The calculation puts the calculated total energy at -4.407 eV/atom. Its magnetic moment is 0.01 μB per formula unit.



VASP calculation (GGA-PBE) on a relaxed PrPdF3 crystal.

It has space group Cmcm (No. 63), with a = 4.155 Å, b = 12.759 Å, c = 5.043 Å, α = 90.00°, β = 90.00° and γ = 90.00°. The asymmetric unit holds Pr at (0.000, 0.151, 0.250), Pd at (0.000, 0.475, 0.250), F at (0.000, 0.084, 0.750) and F at (0.000, 0.304, 0.511).

The crystal system is orthorhombic. The calculation puts the calculated total energy at -5.710 eV/atom. Its magnetic moment is 0.06 μB per formula unit.



VASP calculation (GGA-PBE) on a relaxed YErFe2Si2 crystal.

It has space group P4mm (No. 99), with a = 4.025 Å, b = 4.025 Å, c = 6.449 Å, α = 90.00°, β = 90.00° and γ = 90.00°. The asymmetric unit holds Y at (0.000, 0.000, 0.000), Er at (0.500, 0.500, 0.633), Fe at (0.000, 0.500, 0.322), Si at (0.000, 0.000, 0.501) and Si at (0.500, 0.500, 0.140).

The crystal system is tetragonal. The calculation puts the calculated total energy at -7.062 eV/atom. Its magnetic moment is 0.09 μB per formula unit.



VASP calculation (GGA-PBE) on a relaxed CoSiIrW crystal.

It has space group F-43m (No. 216), with a = 6.042 Å, b = 6.042 Å, c = 6.042 Å, α = 90.00°, β = 90.00° and γ = 90.00°. The asymmetric unit holds Co at (0.000, 0.000, 0.000), Si at (0.250, 0.250, 0.750), Ir at (0.000, 0.000, 0.500) and W at (0.250, 0.250, 0.250).

The crystal system is cubic. The calculation puts the calculated total energy at -8.498 eV/atom. Its magnetic moment is 1.24 μB per formula unit.



VASP calculation (GGA-PBE) on a relaxed ReMoIr crystal.

It has space group F-43m (No. 216), with a = 5.976 Å, b = 5.976 Å, c = 5.976 Å, α = 90.00°, β = 90.00° and γ = 90.00°. The asymmetric unit holds Re at (0.000, 0.000, 0.000), Mo at (0.250, 0.250, 0.250) and Ir at (0.250, 0.250, 0.750).

The value obtained for the formation enthalpy at 0 K is 11.56 kcal/mol of atoms. The crystal system is cubic. The calculation puts the calculated total energy at -10.207 eV/atom. Its magnetic moment is 0.01 μB per formula unit.



VASP calculation (GGA-PBE) on a relaxed RbScCoSe3 crystal.

It has space group P2_1/m (No. 11), with a = 9.248 Å, b = 3.889 Å, c = 9.701 Å, α = 90.00°, β = 112.74° and γ = 90.00°. The asymmetric unit holds Rb at (0.207, 0.250, 0.237), Sc at (0.334, 0.750, 0.861), Co at (0.076, 0.250, 0.594), Se at (0.126, 0.250, 0.854), Se at (0.195, 0.750, 0.544) and Se at (0.469, 0.750, 0.158).

The crystal system is monoclinic. The calculation puts the calculated total energy at -5.252 eV/atom. Its magnetic moment is 2.01 μB per formula unit.



VASP calculation (GGA-PBE) on a relaxed GaHg crystal.

It has space group P-1 (No. 2), with a = 5.670 Å, b = 5.754 Å, c = 5.929 Å, α = 101.54°, β = 96.37° and γ = 101.28°. The asymmetric unit holds Ga at (0.205, 0.294, 0.131), Ga at (0.247, 0.842, 0.567), Hg at (0.263, 0.356, 0.636) and Hg at (0.298, 0.808, 0.079).

The crystal system is triclinic. The calculation puts the calculated total energy at -1.570 eV/atom.